Entry 1:
The following is a GGA-PBE calculation of a relaxed structure of Ga2CuNi5, from the Alexandria database.

## Properties
**Energy**: -5.160 eV/atom
**DOS(E_F)**: 15.19 states/eV per cell
**Energy of formation from the pure elements**: -0.278 eV per atom
**Calculated volume**: 186.0 Å³/cell
**Calculated density**: 8.86 g/cm3
**Spin magnetization**: 0.001 μB/cell
**Crystal system**: orthorhombic

The structure in POSCAR format:
```
Ga2CuNi5
1.0
3.650 0.000 0.000
0.000 5.051 0.000
0.000 0.000 10.091
Ga Cu Ni
4 2 10
Direct
0.500 0.268 0.371
0.500 0.732 0.629
0.500 0.232 0.871
0.500 0.768 0.129
0.000 0.000 0.500
0.000 0.500 0.000
0.500 0.263 0.123
0.500 0.737 0.877
0.500 0.763 0.377
0.500 0.237 0.623
0.000 0.980 0.750
0.000 0.020 0.250
0.000 0.480 0.750
0.000 0.520 0.250
0.000 0.500 0.500
0.000 0.000 0.000
```

Entry 2:
The following is a GGA-PBE calculation of a relaxed structure of NaTl2AgCl5, from the Alexandria database.

## Properties
**Energy**: -2.960 eV/atom
**DOS(E_F)**: 7.71 states/eV per cell
**Calculated volume**: 511.7 Å³/cell
**Calculated density**: 4.65 g/cm3
**Spin magnetization**: 1.627 μB/cell
**Formation energy from raw total energies**: -945 meV/atom
**Crystal system**: orthorhombic

The structure in POSCAR format:
```
NaTl2AgCl5
1.0
4.266 0.000 0.000
-2.133 8.521 0.000
0.000 0.000 14.077
Na Tl Ag Cl
2 4 2 10
Direct
0.788 0.576 0.523
0.212 0.424 0.023
0.840 0.680 0.801
0.096 0.193 0.681
0.160 0.320 0.301
0.904 0.807 0.181
0.526 0.051 0.947
0.474 0.949 0.447
0.382 0.764 0.000
0.668 0.335 0.891
0.478 0.955 0.776
0.276 0.553 0.656
0.947 0.894 0.549
0.618 0.236 0.500
0.332 0.665 0.391
0.522 0.045 0.276
0.724 0.447 0.156
0.053 0.106 0.049
```

Entry 3:
The following is a GGA-PBE calculation of a relaxed structure of Pr7SbS5, from the Alexandria database.

## Properties
**Energy**: -6.219 eV/atom
**DOS(E_F)**: 14.79 states/eV per cell
**Calculated volume**: 691.9 Å³/cell
**Calculated density**: 6.09 g/cm3
**Spin magnetization**: 0.000 μB/cell
**Formation energy from raw total energies**: -1741 meV/atom
**Crystal system**: monoclinic

The structure in POSCAR format:
```
Pr7SbS5
1.0
4.171 -0.002 0.000
-2.088 6.745 0.009
0.000 -0.025 24.600
Pr Sb S
14 2 10
Direct
0.478 0.957 0.250
0.522 0.045 0.750
0.636 0.273 0.037
0.364 0.728 0.963
0.364 0.728 0.537
0.636 0.273 0.463
0.180 0.361 0.173
0.820 0.640 0.827
0.820 0.640 0.673
0.181 0.361 0.327
0.909 0.817 0.111
0.092 0.184 0.889
0.091 0.183 0.611
0.909 0.818 0.389
0.803 0.605 0.250
0.198 0.396 0.750
0.000 0.001 0.000
0.726 0.451 0.930
0.275 0.550 0.070
0.546 0.092 0.359
0.454 0.909 0.641
0.000 0.001 0.500
0.275 0.550 0.430
0.726 0.451 0.570
0.455 0.910 0.859
0.546 0.091 0.141
```

Entry 4:
The following is a GGA-PBE calculation of a relaxed structure of BiSb2S5, from the Alexandria database.

## Properties
**Energy**: -4.258 eV/atom
**DOS(E_F)**: 5.72 states/eV per cell
**Calculated volume**: 460.8 Å³/cell
**Calculated density**: 4.42 g/cm3
**Spin magnetization**: 0.000 μB/cell
**Formation energy from raw total energies**: -163 meV/atom
**Crystal system**: orthorhombic

The structure in POSCAR format:
```
BiSb2S5
1.0
5.233 0.000 0.000
-2.616 6.431 0.000
0.000 0.000 13.693
Bi Sb S
2 4 10
Direct
0.778 0.556 0.750
0.222 0.444 0.250
0.864 0.727 0.447
0.864 0.727 0.053
0.136 0.273 0.553
0.136 0.273 0.947
0.949 0.898 0.885
0.949 0.898 0.615
0.328 0.656 0.433
0.328 0.656 0.067
0.795 0.590 0.250
0.205 0.410 0.750
0.672 0.344 0.567
0.672 0.344 0.933
0.051 0.102 0.115
0.051 0.102 0.385
```

Entry 5:
The following is a GGA-PBE calculation of a relaxed structure of LiNdTlPb, from the Alexandria database.

## Properties
**Energy**: -3.572 eV/atom
**DOS(E_F)**: 2.12 states/eV per cell
**Energy of formation from the pure elements**: -0.383 eV per atom
**Calculated volume**: 106.0 Å³/cell
**Calculated density**: 8.82 g/cm3
**Spin magnetization**: 0.000 μB/cell
**Polymorph energy (0 for the lowest one)**: 0 meV per atom
**Crystal system**: orthorhombic

The structure in POSCAR format:
```
LiNdTlPb
1.0
-4.551 -0.322 -0.121
0.358 -4.353 -1.867
0.017 -1.926 4.493
Li Nd Tl Pb
1 1 1 1
Direct
0.000 0.500 0.500
0.000 0.000 0.000
0.500 0.000 0.500
0.500 0.500 0.000
```

Entry 6:
The following is a GGA-PBE calculation of a relaxed structure of Tl2ZnTe, from the Alexandria database.

## Properties
**Energy**: -2.315 eV/atom
**DOS(E_F)**: 0.22 states/eV per cell
**Calculated volume**: 126.2 Å³/cell
**Calculated density**: 7.92 g/cm3
**Spin magnetization**: 0.000 μB/cell
**Formation energy from raw total energies**: -28 meV/atom
**Polymorph energy (0 for the lowest one)**: 56 meV per atom
**Crystal system**: cubic

The structure in POSCAR format:
```
Tl2ZnTe
1.0
0.000 3.982 3.982
3.982 0.000 3.982
3.982 3.982 0.000
Tl Te Zn
2 1 1
Direct
0.250 0.250 0.250
0.750 0.750 0.750
0.500 0.500 0.500
0.000 0.000 0.000
```

Entry 7:
The following is a GGA-PBE calculation of a relaxed structure of NiMoOs2, from the Alexandria database.

## Properties
**Energy**: -9.578 eV/atom
**DOS(E_F)**: 4.75 states/eV per cell
**Energy of formation from the pure elements**: 0.190 eV per atom
**Calculated volume**: 56.0 Å³/cell
**Calculated density**: 15.87 g/cm3
**Spin magnetization**: 0.000 μB/cell
**Polymorph energy (0 for the lowest one)**: 153 meV per atom
**Crystal system**: tetragonal

The structure in POSCAR format:
```
NiMoOs2
1.0
-1.414 2.107 1.851
-2.449 0.083 -1.966
-2.470 -4.205 2.900
Mo Ni Os
1 1 2
Direct
0.500 0.500 0.250
0.500 0.500 0.750
0.000 0.000 0.979
0.000 0.000 0.521
```

Question: What is the calculated volume in the fifth record?
Answer: 106.0 Å³/cell